Record 1
MgB2ICl: relaxed, PBE-GGA.

Lattice parameters (Å, degrees): 4.1030 4.1030 6.8534 90.00 90.00 90.00
Space group P4/mmm (No. 123)
Inequivalent atoms, fractional coordinates:
Mg (0.0000, 0.0000, 0.0000) x1
B (0.0000, 0.5000, 0.5000) x2
I (0.5000, 0.5000, 0.0000) x1
Cl (0.5000, 0.5000, 0.5000) x1

ΔE_f (raw), eV/f.u.: 8.0
Electronic total energy, eV/atom: -2.061

=====

Record 2
BIN2Cl: relaxed, PBE-GGA.

Lattice parameters (Å, degrees): 3.6960 3.6960 7.1652 90.00 90.00 90.00
Space group P4/mmm (No. 123)
Inequivalent atoms, fractional coordinates:
B (0.0000, 0.0000, 0.0000) x1
I (0.5000, 0.5000, 0.0000) x1
N (0.0000, 0.5000, 0.5000) x2
Cl (0.5000, 0.5000, 0.5000) x1

ΔE_f (raw), eV/f.u.: 13.3
Electronic total energy, eV/atom: -2.685

=====

Record 3
BIN2Cl: relaxed, PBE-GGA.

Lattice parameters (Å, degrees): 3.5375 3.5375 7.0620 90.00 90.00 90.00
Space group P4/mmm (No. 123)
Inequivalent atoms, fractional coordinates:
B (0.0000, 0.0000, 0.0000) x1
I (0.0000, 0.0000, 0.5000) x1
N (0.0000, 0.5000, 0.0000) x2
Cl (0.5000, 0.5000, 0.5000) x1

ΔE_f (raw), eV/f.u.: 8.8
Electronic total energy, eV/atom: -3.582

=====

Record 4
BI2NCl: relaxed, PBE-GGA.

Lattice parameters (Å, degrees): 7.1208 7.1208 3.2957 90.00 90.00 90.00
Space group P4/mmm (No. 123)
Inequivalent atoms, fractional coordinates:
B (0.0000, 0.0000, 0.0000) x1
I (0.0000, 0.5000, 0.5000) x2
N (0.5000, 0.5000, 0.0000) x1
Cl (0.5000, 0.5000, 0.5000) x1

ΔE_f (raw), eV/f.u.: 9.4
Electronic total energy, eV/atom: -2.109

=====

Record 5
BI2NCl: relaxed, PBE-GGA.

Lattice parameters (Å, degrees): 8.1906 8.1906 2.7047 90.00 90.00 90.00
Space group P4/mmm (No. 123)
Inequivalent atoms, fractional coordinates:
B (0.0000, 0.0000, 0.0000) x1
I (0.0000, 0.5000, 0.0000) x2
N (0.0000, 0.0000, 0.5000) x1
Cl (0.5000, 0.5000, 0.5000) x1

ΔE_f (raw), eV/f.u.: 0.1
Electronic total energy, eV/atom: -3.974

=====

Record 6
BI2NCl: relaxed, PBE-GGA.

Lattice parameters (Å, degrees): 4.9943 4.9943 4.4188 90.00 90.00 90.00
Space group P4/mmm (No. 123)
Inequivalent atoms, fractional coordinates:
B (0.0000, 0.0000, 0.0000) x1
I (0.0000, 0.5000, 0.5000) x2
N (0.5000, 0.5000, 0.5000) x1
Cl (0.5000, 0.5000, 0.0000) x1

ΔE_f (raw), eV/f.u.: 8.1
Electronic total energy, eV/atom: -2.372